Version a
# BaZrCu2

Crystalline BaZrCu2 at its relaxed geometry (PBE, Alexandria).

Cell lengths 6.5450, 6.5450, 6.5450 Å; angles 107.98, 107.98, 112.49 degrees
Closest atoms and distances in Å follow each position.
Fractional coordinates of all 8 atoms:
Ba  0.0000  0.0000  0.0000  4 Cu 3.18
Ba  0.7500  0.2500  0.5000  4 Cu 3.18
Zr  0.2500  0.7500  0.5000  4 Cu 2.59
Zr  0.5000  0.5000  0.0000  4 Cu 2.59
Cu  0.1829  0.6250  0.0579  2 Zr 2.59
Cu  0.3750  0.4329  0.5579  2 Zr 2.59
Cu  0.5671  0.1250  0.9421  2 Zr 2.59
Cu  0.8750  0.8171  0.4421  2 Zr 2.59

## Properties
As for the calculated density: 5.48 g cm⁻³.

---

Version b
# BaZrCu2

Crystalline BaZrCu2 at its relaxed geometry (PBE, Alexandria).

Cell lengths 6.1418, 6.1418, 6.1418 Å; angles 149.46, 131.87, 58.08 degrees
Closest atoms and distances in Å follow each position.
Fractional coordinates of all 4 atoms:
Ba  0.0000  0.0000  0.0000  6 Cu 3.03-3.31, 2 Ba 3.23, 2 Zr 3.30
Zr  0.7007  0.2007  0.5000  6 Cu 3.07-3.16, 2 Zr 3.23, 2 Ba 3.30
Cu  0.2686  0.7686  0.5000  2 Cu 2.52
Cu  0.4483  0.4483  0.0000  2 Cu 2.52

## Properties
As for the calculated density: 6.79 g cm⁻³.

---

So which one is most stable? That would be version b, about 0.137 eV/atom below the next structure.